1.
Below is CrIn2Re after structural relaxation, with properties calculated at the PBE level.

Geometry as CIF:
```
data_CrIn2Re
_cell_length_a 7.5085
_cell_length_b 7.5085
_cell_length_c 5.6078
_cell_angle_alpha 90.00
_cell_angle_beta 90.00
_cell_angle_gamma 90.00
_space_group_name_H-M_alt 'I -4 2 d'
_space_group_IT_number 122
_space_group_name_Hall 'I -4 2bw'
loop_
_atom_site_label
_atom_site_type_symbol
_atom_site_fract_x
_atom_site_fract_y
_atom_site_fract_z
_atom_site_occupancy
Cr1 Cr 0.0000 0.0000 0.0000 1
In1 In 0.2502 0.2500 0.1250 1
Re1 Re 0.0000 0.0000 0.5000 1
```

Calculated values
Offset from the most stable computed form = 78.85 kJ per mole of atoms
Formation energy = 1040 meV/atom
Spin magnetization = 15.1 μB per cell
Crystal system = tetragonal

=====

2.
Below is CrIn2Re after structural relaxation, with properties calculated at the PBE level.

Geometry as CIF:
```
data_CrIn2Re
_cell_length_a 2.9975
_cell_length_b 2.9975
_cell_length_c 8.1719
_cell_angle_alpha 90.00
_cell_angle_beta 90.00
_cell_angle_gamma 90.00
_space_group_name_H-M_alt 'P 4/m m m'
_space_group_IT_number 123
_space_group_name_Hall '-P 4 2'
loop_
_atom_site_label
_atom_site_type_symbol
_atom_site_fract_x
_atom_site_fract_y
_atom_site_fract_z
_atom_site_occupancy
Cr1 Cr 0.0000 0.0000 0.0000 1
In1 In 0.5000 0.5000 0.2547 1
Re1 Re 0.0000 0.0000 0.5000 1
```

Calculated values
Offset from the most stable computed form = 39.15 kJ per mole of atoms
Formation energy = 628 meV/atom
Spin magnetization = 4.8 μB per cell
Crystal system = tetragonal

=====

3.
Below is CrIn2Re after structural relaxation, with properties calculated at the PBE level.

Geometry as CIF:
```
data_CrIn2Re
_cell_length_a 2.9132
_cell_length_b 4.6687
_cell_length_c 5.3317
_cell_angle_alpha 90.00
_cell_angle_beta 92.95
_cell_angle_gamma 90.00
_space_group_name_H-M_alt 'P 1 2/m 1'
_space_group_IT_number 10
loop_
_space_group_symop_operation_xyz
'x,y,z'
'-x,-y,-z'
'-x,y,-z'
'x,-y,z'
loop_
_atom_site_label
_atom_site_type_symbol
_atom_site_fract_x
_atom_site_fract_y
_atom_site_fract_z
_atom_site_occupancy
Cr1 Cr 0.0000 0.0000 0.0000 1
In1 In 0.2386 0.5000 0.7517 1
Re1 Re 0.5000 0.0000 0.5000 1
```

Calculated values
Offset from the most stable computed form = 41.50 kJ per mole of atoms
Formation energy = 652 meV/atom
Spin magnetization = 2.9 μB per cell
Crystal system = monoclinic

=====

4.
Below is CrIn2Re after structural relaxation, with properties calculated at the PBE level.

Geometry as CIF:
```
data_CrIn2Re
_cell_length_a 2.9202
_cell_length_b 4.1511
_cell_length_c 5.9660
_cell_angle_alpha 90.00
_cell_angle_beta 90.00
_cell_angle_gamma 90.00
_space_group_name_H-M_alt 'P m m m'
_space_group_IT_number 47
loop_
_space_group_symop_operation_xyz
'x,y,z'
'-x,-y,-z'
'-x,-y,z'
'x,y,-z'
'x,-y,-z'
'-x,y,z'
'-x,y,-z'
'x,-y,z'
loop_
_atom_site_label
_atom_site_type_symbol
_atom_site_fract_x
_atom_site_fract_y
_atom_site_fract_z
_atom_site_occupancy
Cr1 Cr 0.0000 0.0000 0.0000 1
In1 In 0.5000 0.5000 0.2537 1
Re1 Re 0.0000 0.0000 0.5000 1
```

Calculated values
Offset from the most stable computed form = 34.28 kJ per mole of atoms
Formation energy = 578 meV/atom
Spin magnetization = 4.2 μB per cell
Crystal system = orthorhombic

=====

| no. | uncorrected energy (eV per cell) |
| --- | --- |
| 1 | -93.6 |
| 2 | -25.0 |
| 3 | -24.9 |
| 4 | -25.2 |